Density functional theory data (PBE-GGA) for a geometry-optimized MnNbP structure.

The structure in CIF format:
```
data_MnNbP
_chemical_formula_sum 'Mn4 Nb4 P4'
_cell_length_a 6.1800
_cell_length_b 3.5911
_cell_length_c 7.1590
_cell_angle_alpha 90.00
_cell_angle_beta 90.00
_cell_angle_gamma 90.00
_space_group_name_H-M_alt 'P n m a'
_space_group_IT_number 62
_space_group_name_Hall '-P 2ac 2n'
loop_
_atom_site_label
_atom_site_type_symbol
_atom_site_fract_x
_atom_site_fract_y
_atom_site_fract_z
Mn1 Mn 0.1403 0.2500 0.0579
Nb1 Nb 0.0281 0.2500 0.6744
P1 P 0.2275 0.7500 0.8726
```

**Volume**: 13.2 Å³ per atom
**Electronic total energy**: -108.43 eV/cell
**Magnetization**: 4.24 μB per cell
**Formation energy**: -819.7 meV/atom